VASP calculation (PBE-GGA) on a relaxed Mn2MoPt crystal.

Unit cell a=3.8738 b=3.8738 c=3.6218 alpha=90.00 beta=90.00 gamma=90.00
Fractional coordinates of all 4 atoms:
Mn: 0.0000 0.5000 0.0000
Mn: 0.5000 0.0000 0.0000
Mo: 0.0000 0.0000 0.5000
Pt: 0.5000 0.5000 0.5000

Summary:
* N(E_F): 4.22 states/eV per cell
* formation energy from the elements: -112 meV per atom
* uncorrected energy: -35.7 eV/f.u.